The following is a GGA-PBE calculation of LiBiAu2 after structural relaxation, from the Alexandria database.

Summary:
Spin magnetization, μB/f.u.: 0.00
Energy of formation, eV/f.u.: -1.0
DOS at the Fermi energy, states/eV/cell: 1.7
ΔE to the lowest computed polymorph, eV per formula unit: 0.13
Crystal system: tetragonal

Cell lengths 4.302, 4.302, 4.357 Å; angles 90.00, 90.00, 90.00 degrees
Space group P4/mmm (No. 123)
Asymmetric unit:
1 Li 0.000 0.000 0.000
2 Bi 0.500 0.500 0.000
3 Au 0.000 0.500 0.500